Computed, not measured: Al2Fe5W after structural relaxation at the PBE level of DFT.

The space group is I4/mmm (No. 139) and the conventional cell measures 4.0817, 4.0817 and 11.5401 Å, with angles of 90.00, 90.00 and 90.00 degrees. Symmetry generates all atoms from Al at (0.0000, 0.0000, 0.2477), Fe at (0.0000, 0.0000, 0.0000), Fe at (0.0000, 0.5000, 0.1241) and W at (0.0000, 0.0000, 0.5000).

The energy is -8.027 eV/atom. The value obtained for the formation energy is -183 meV/atom.